# 1
Density functional theory data (PBE) for a relaxed structure of CaTm2Lu.

Cell lengths 3.556, 3.556, 10.247 Å; angles 90.00, 90.00, 90.00 degrees
Space group P4/mmm (No. 123)
Asymmetric unit:
Ca 0.000 0.000 0.000 [1 per cell]
Tm 0.500 0.500 0.273 [2 per cell]
Lu 0.000 0.000 0.500 [1 per cell]

Computed properties:
Total moment, μB/atom: 0.000
Electronic total energy, eV/atom: -3.777
Energy of formation from the pure elements, eV/atom: 0.0898
ΔE to the lowest computed polymorph, meV/atom: 0
Fermi-level density of states, states/eV/cell: 5.80

# 2
Density functional theory data (PBE) for a relaxed structure of SrY2W.

Cell lengths 10.430, 3.271, 7.178 Å; angles 90.00, 93.58, 90.00 degrees
Space group Cm (No. 8)
Asymmetric unit:
Sr 0.000 0.000 0.000 [2 per cell]
Y 0.013 0.500 0.570 [2 per cell]
Y 0.262 0.500 0.338 [2 per cell]
W 0.250 0.000 0.693 [2 per cell]

Computed properties:
Total moment, μB/atom: 0.000
Electronic total energy, eV/atom: -6.176
Energy of formation from the pure elements, eV/atom: 0.7150
ΔE to the lowest computed polymorph, meV/atom: 281
Fermi-level density of states, states/eV/cell: 6.04

- Which of these has the lowest Fermi-level density of states?
  CaTm2Lu

- Which formula does entry 2 have?
  SrY2W